Entry 1:
! K3Pm3VS8, optimized geometry, DFT PBE-GGA; values from VASP
! * space-group type: R-3m, No. 166
! * DOS(E_F): 6.35 states/eV/f.u.
! * formation energy without anion corrections: -23.55 eV per formula unit
! * total magnetization: 1.00 μB per cell
&SYSTEM
  ibrav = 0, nat = 15, ntyp = 4
/
ATOMIC_SPECIES
S 32.06 S.upf
K 39.10 K.upf
Pm 145.00 Pm.upf
V 50.94 V.upf
CELL_PARAMETERS angstrom
8.0140 0.0001 -0.0001
-4.0069 6.9408 -0.0281
-0.0001 -4.5984 7.5349
ATOMIC_POSITIONS angstrom
S 4.0070 0.0209 5.3310
S 0.0000 2.3217 2.1757
S 2.2349 3.6244 5.1471
S -0.0001 -0.2467 5.1631
K -2.0034 3.4704 -0.0141
Pm -2.0035 1.1712 3.7534
S 4.0070 2.5893 2.3435
S -2.2349 3.6243 5.1471
S 1.7721 -1.2818 2.3596
K 2.0036 3.4705 -0.0141
Pm 2.0035 1.1713 3.7533
Pm 4.0069 -2.2991 3.7674
K 0.0000 0.0000 0.0000
S 6.2419 -1.2817 2.3595
V -0.0001 -2.2992 3.7674



Entry 2:
! KPm4YS8, optimized geometry, DFT PBE-GGA; values from VASP
! * space-group type: R3m, No. 160
! * DOS(E_F): 0.00 states/eV/f.u.
! * formation energy without anion corrections: -26.92 eV per formula unit
! * total magnetization: 0.00 μB per cell
&SYSTEM
  ibrav = 0, nat = 14, ntyp = 4
/
ATOMIC_SPECIES
Pm 145.00 Pm.upf
S 32.06 S.upf
K 39.10 K.upf
Y 88.91 Y.upf
CELL_PARAMETERS angstrom
-5.1845 5.4341 -3.8193
-7.0905 -2.7707 -3.6115
-7.4240 1.8097 3.3581
ATOMIC_POSITIONS angstrom
Pm -8.6057 1.8925 -4.2142
S -11.2174 2.4843 -4.8022
S -12.3582 0.3762 -1.2777
S -14.6987 3.3339 -3.1867
K -11.0763 2.5759 0.1119
Pm -7.2208 -0.4145 -0.0823
Pm -3.7958 0.9239 1.6623
S -8.3228 1.9531 0.7777
S -11.2734 5.0458 -1.3959
S -5.0776 1.1606 -0.7505
Y -7.3812 1.7978 3.2833
S -8.4422 -0.4246 -2.7577
Pm -6.3001 3.5488 -0.1826
S -7.4219 3.9674 -2.8689



Entry 3:
! K3PmY2S6, optimized geometry, DFT PBE-GGA; values from VASP
! * space-group type: C2/m, No. 12
! * DOS(E_F): 0.00 states/eV/f.u.
! * formation energy without anion corrections: -22.58 eV per formula unit
! * total magnetization: 0.00 μB per cell
&SYSTEM
  ibrav = 0, nat = 12, ntyp = 4
/
ATOMIC_SPECIES
K 39.10 K.upf
S 32.06 S.upf
Y 88.91 Y.upf
Pm 145.00 Pm.upf
CELL_PARAMETERS angstrom
-5.4636 -2.1859 -3.9527
2.9623 -4.4052 4.6981
-3.8608 4.5654 4.9317
ATOMIC_POSITIONS angstrom
K -3.1811 -1.0129 2.8385
K -0.3674 -1.7540 5.7273
S -2.8094 -0.2605 -0.2878
Y 0.1542 -3.6656 1.8151
S -3.7547 1.8463 4.1308
Y -2.6556 -2.9255 -1.0697
S -2.6074 -3.8720 1.5463
S 0.0504 -1.0137 2.6482
S -3.5528 -1.7652 5.9649
Pm 0.0000 0.0000 0.0000
S -6.4125 -1.0120 3.0288
K -5.9947 -0.2717 -0.0502



Entry 4:
! KPmY4S8, optimized geometry, DFT PBE-GGA; values from VASP
! * space-group type: R3m, No. 160
! * DOS(E_F): 0.00 states/eV/f.u.
! * formation energy without anion corrections: -27.06 eV per formula unit
! * total magnetization: 0.00 μB per cell
&SYSTEM
  ibrav = 0, nat = 14, ntyp = 4
/
ATOMIC_SPECIES
S 32.06 S.upf
Y 88.91 Y.upf
K 39.10 K.upf
Pm 145.00 Pm.upf
CELL_PARAMETERS angstrom
8.2284 0.0000 0.0000
4.1142 7.1260 0.0000
4.1142 2.3753 6.8152
ATOMIC_POSITIONS angstrom
S 10.3871 5.9970 1.7838
Y 6.0990 1.2294 3.4366
Y 8.2283 4.7506 0.8447
S 12.3425 7.1260 4.9612
S 4.1142 2.3753 2.0545
S 8.2284 2.2579 1.7838
Y 2.1294 1.2294 3.4366
K 8.2284 4.7506 6.0106
S 10.5333 3.4199 4.9528
Pm 4.1142 2.3753 6.7232
S 5.9234 3.4199 4.9528
Y 4.1142 4.6672 3.4366
S 8.2284 7.4121 4.9528
S 6.0696 5.9970 1.7838



Entry 5:
! K2PmZn2S4, optimized geometry, DFT PBE-GGA; values from VASP
! * space-group type: C2/m, No. 12
! * DOS(E_F): 4.00 states/eV/f.u.
! * formation energy without anion corrections: -10.31 eV per formula unit
! * total magnetization: 0.00 μB per cell
&SYSTEM
  ibrav = 0, nat = 9, ntyp = 4
/
ATOMIC_SPECIES
S 32.06 S.upf
Zn 65.41 Zn.upf
K 39.10 K.upf
Pm 145.00 Pm.upf
CELL_PARAMETERS angstrom
-1.5427 -0.7990 3.5451
-0.2998 -7.6563 -1.8560
7.5805 2.5300 1.6706
ATOMIC_POSITIONS angstrom
S 6.2565 0.2901 2.7879
S 2.5702 -0.7626 0.9466
S 3.1679 -5.1627 2.4132
S -0.5184 -6.2155 0.5718
Zn 1.7421 0.2488 3.0124
K 1.5781 -3.7299 -0.1539
Zn 3.9959 -6.1741 0.3473
K 4.1600 -2.1955 3.5137
Pm 0.0000 0.0000 0.0000



Entry 6:
! KPm2ZnS4, optimized geometry, DFT PBE-GGA; values from VASP
! * space-group type: Cmcm, No. 63
! * DOS(E_F): 1.44 states/eV/f.u.
! * formation energy without anion corrections: -12.72 eV per formula unit
! * total magnetization: 0.00 μB per cell
&SYSTEM
  ibrav = 0, nat = 16, ntyp = 4
/
ATOMIC_SPECIES
Pm 145.00 Pm.upf
K 39.10 K.upf
S 32.06 S.upf
Zn 65.41 Zn.upf
CELL_PARAMETERS angstrom
3.9844 0.0000 0.0000
-1.9922 7.0460 0.0000
0.0000 0.0000 14.1710
ATOMIC_POSITIONS angstrom
Pm 1.9922 1.8131 0.7169
K 1.9922 5.5270 3.5427
S 0.0000 0.0000 7.0855
S 0.0000 0.0000 0.0000
S 0.0000 6.0022 10.6282
Pm 0.0000 5.2329 13.4541
S 0.0000 3.7304 1.6436
S 0.0000 3.7304 5.4419
S 1.9922 3.3155 12.5274
S 1.9922 3.3155 8.7291
K 0.0000 1.5190 10.6282
Zn 1.9922 4.6830 10.6282
Zn 0.0000 2.3630 3.5427
S 1.9922 1.0437 3.5427
Pm 0.0000 5.2329 7.8024
Pm 1.9922 1.8131 6.3686



Entry 7:
! K4Pm3ZrS8, optimized geometry, DFT PBE-GGA; values from VASP
! * space-group type: R-3m, No. 166
! * DOS(E_F): 4.78 states/eV/f.u.
! * formation energy without anion corrections: -27.89 eV per formula unit
! * total magnetization: 0.00 μB per cell
&SYSTEM
  ibrav = 0, nat = 16, ntyp = 4
/
ATOMIC_SPECIES
S 32.06 S.upf
K 39.10 K.upf
Pm 145.00 Pm.upf
Zr 91.22 Zr.upf
CELL_PARAMETERS angstrom
8.1282 0.0000 0.0000
0.0000 8.7523 0.4312
-4.0641 -4.0595 5.7509
ATOMIC_POSITIONS angstrom
S 4.0641 0.3676 3.2929
S 0.0000 0.3915 3.1473
K 0.0000 0.0000 0.0000
Pm 2.0320 2.3464 3.0910
K -2.0320 -2.0298 2.8754
S 1.9168 2.5125 0.2547
Pm -2.0320 2.3464 3.0910
S 0.0000 4.3252 2.8891
K 2.0320 -2.0298 2.8754
Zr 0.0000 4.3762 0.2156
S 2.1473 2.1803 5.9273
S 6.2114 2.5125 0.2547
K 4.0641 0.0000 0.0000
S 4.0641 4.3013 3.0348
S -2.1473 2.1803 5.9273
Pm 4.0641 4.3762 0.2156



Entry 8:
! K3Pm3ZrS8, optimized geometry, DFT PBE-GGA; values from VASP
! * space-group type: R-3m, No. 166
! * DOS(E_F): 0.00 states/eV/f.u.
! * formation energy without anion corrections: -26.99 eV per formula unit
! * total magnetization: 0.00 μB per cell
&SYSTEM
  ibrav = 0, nat = 15, ntyp = 4
/
ATOMIC_SPECIES
S 32.06 S.upf
K 39.10 K.upf
Pm 145.00 Pm.upf
Zr 91.22 Zr.upf
CELL_PARAMETERS angstrom
-3.9011 0.1157 7.1262
-3.8974 -2.3659 -6.7270
6.0139 -5.5545 3.3824
ATOMIC_POSITIONS angstrom
S -1.3281 -2.8507 -0.6808
K -3.8993 -1.1251 0.1996
Pm 1.0582 -3.9602 -1.6723
S -2.5677 -6.0754 1.1711
S -1.3042 -1.6674 6.4230
S 0.7829 -1.7293 2.6105
S -0.4566 -4.9539 4.4623
Pm -0.8924 -3.9023 1.8908
S -3.3891 -2.9330 2.8241
K 0.0000 0.0000 0.0000
S 1.6044 -4.8717 0.9574
S -0.4805 -6.1373 -2.6415
K -1.9487 -1.1829 -3.3635
Zr 3.0069 -2.7773 1.6912
Pm 1.0564 -2.7194 5.2543